1.
In2Se | Alexandria via LeMat-Bulk | PBE | relaxed; E_form (uncorrected) = 20.9 meV/atom
1.0
5.0120 0.0000 0.0000
-2.5060 4.3405 0.0000
0.0000 0.0000 3.8877
Se In
1 2
Cartesian
0.0000 0.0000 0.0000
2.5060 1.4468 1.9439
0.0000 2.8937 1.9439

2.
Mn2Tc | Alexandria via LeMat-Bulk | PBE | relaxed; DFT formation energy = 0.13 eV/atom
1.0
0.7537 2.1136 3.8800
-0.6985 4.4130 0.3574
-1.7969 -3.9875 -0.9802
Mn Tc
2 1
Cartesian
0.0181 2.1349 1.3861
0.0371 4.3916 2.8513
0.0000 0.0000 0.0000

| no. | raw total energy (eV/atom) |
| --- | --- |
| 1 | -2.97 |
| 2 | -9.43 |